Entry from Alexandria via LeMat-Bulk: an optimized crystal structure of Ba2V2CuF12 (GGA+U).

Cell lengths 5.4471, 7.0377, 7.5600 Å; angles 65.52, 70.53, 72.83 degrees
Last column: nearest neighbours and their distance in Å.
Space group P1 (No. 1)
Symmetry-distinct sites (fractional):
Ba 0.0000 0.0000 0.0000  10 F 2.74-3.07
Ba 0.4176 0.5942 0.5258  7 F 2.72-2.92
V 0.1996 0.3005 0.2677  6 F 1.92-2.05
V 0.7465 0.5751 0.9299  6 F 1.93-2.05
Cu 0.6453 0.0212 0.5965  4 F 1.90-2.03
F 0.0880 0.4084 0.0044  2 V 2.00-2.05
F 0.1821 0.5848 0.2564  1 V 1.94
F 0.2361 0.0197 0.2676  1 V 1.93
F 0.3061 0.1898 0.5279  1 Cu 1.98, 1 V 2.01
F 0.4278 0.7250 0.8340  1 V 1.94
F 0.5290 0.1359 0.8048  1 Cu 1.90
F 0.5796 0.3137 0.1140  2 V 2.02-2.04
F 0.6832 0.7080 0.1225  1 V 1.93
F 0.7262 0.8873 0.4068  1 Cu 1.90
F 0.8339 0.3082 0.4106  1 V 1.92
F 0.8764 0.4418 0.7306  1 V 1.93
F 0.9392 0.8186 0.7272  1 Cu 2.03, 1 V 2.05

=====

Entry from Alexandria via LeMat-Bulk: an optimized crystal structure of Ba2V2ZnCuF14 (GGA+U).

Cell lengths 14.3670, 5.2783, 14.9277 Å; angles 90.00, 91.77, 90.00 degrees
Last column: nearest neighbours and their distance in Å.
Space group C2/c (No. 15)
Symmetry-distinct sites (fractional):
Ba 0.1836 0.0866 0.1238  9 F 2.66-2.97
V 0.1202 0.0234 0.3734  6 F 1.93-2.03
Zn 0.0000 0.4389 0.7500  6 F 2.06-2.21
Cu 0.0000 0.5000 0.0000  4 F 1.92-1.94
F 0.0014 0.1130 0.6641  1 V 1.96, 1 Zn 2.15
F 0.0501 0.4379 0.1186  1 Cu 1.92
F 0.0753 0.1981 0.4849  1 Cu 1.94, 1 V 2.03
F 0.1057 0.3160 0.2872  1 V 2.02, 1 Zn 2.06
F 0.1449 0.2693 0.9536  1 V 1.98
F 0.1748 0.1773 0.7753  1 V 1.99
F 0.2455 0.1297 0.4048  1 V 1.93

=====

Entry from Alexandria via LeMat-Bulk: an optimized crystal structure of BaCuW2F (GGA+U).

Cell lengths 4.8186, 4.8186, 6.3025 Å; angles 90.00, 90.00, 90.00 degrees
Last column: nearest neighbours and their distance in Å.
Space group P4/mmm (No. 123)
Symmetry-distinct sites (fractional):
Ba 0.0000 0.0000 0.0000  4 F 3.41
Cu 0.5000 0.5000 0.5000  4 W 2.41
W 0.0000 0.5000 0.5000  2 Cu 2.41
F 0.5000 0.5000 0.0000  2 Cu 3.15, 4 Ba 3.41

=====

no.,final energy (eV/atom),total magnetic moment (μB per cell)
1,-5.680,4.9
2,-5.410,20.2
3,-3.710,7.6